(1)
Material: ThScSn4
Method: DFT, GGA-PBE
State: relaxed

Computed properties:
- E (eV/atom) = -5.3905
- crystal system = orthorhombic

a = 4.3808 Å, b = 34.7194 Å, c = 4.4185 Å
α = 90.00°, β = 90.00°, γ = 90.00°
With the nearest neighbours (Å) after each atom.
Space group Cmmm (No. 65)
Unique sites:
Th: 0.0000 0.1982 0.0000 (multiplicity 4)  8 Sn 3.20-3.39
Sc: 0.0000 0.4390 0.5000 (multiplicity 4)  8 Sn 3.05-3.11
Sn: 0.0000 0.0000 0.5000 (multiplicity 2)  4 Sc 3.05, 4 Sn 3.11
Sn: 0.0000 0.1242 0.5000 (multiplicity 4)  2 Sc 3.10, 4 Sn 3.11, 2 Th 3.39
Sn: 0.0000 0.2799 0.5000 (multiplicity 4)  2 Sn 3.02, 4 Th 3.20
Sn: 0.0000 0.3759 0.0000 (multiplicity 4)  2 Sc 3.11, 4 Sn 3.11, 2 Th 3.38
Sn: 0.0000 0.5000 0.0000 (multiplicity 2)  4 Sc 3.06, 4 Sn 3.11

(2)
Material: Na3Bi3Pb2
Method: DFT, GGA-PBE
State: relaxed

Computed properties:
- E (eV/atom) = -3.0862
- crystal system = orthorhombic

a = 4.8727 Å, b = 4.9753 Å, c = 19.8882 Å
α = 90.00°, β = 90.00°, γ = 90.00°
With the nearest neighbours (Å) after each atom.
Space group Immm (No. 71)
Unique sites:
Na: 0.0000 0.0000 0.0000 (multiplicity 2)  4 Na 3.40, 8 Bi 3.48-3.52
Na: 0.0000 0.5000 0.3804 (multiplicity 4)  2 Na 3.40, 6 Bi 3.44-3.48, 4 Pb 3.51-3.65
Bi: 0.0000 0.0000 0.5000 (multiplicity 2)  8 Na 3.44-3.48, 4 Bi 3.49
Bi: 0.0000 0.5000 0.1253 (multiplicity 4)  4 Pb 3.46-3.53, 6 Na 3.48-3.52, 2 Bi 3.49
Pb: 0.0000 0.0000 0.2464 (multiplicity 4)  4 Bi 3.46-3.53, 4 Pb 3.49, 4 Na 3.51-3.65

(3)
Material: Li4In2Sn
Method: DFT, GGA-PBE
State: relaxed

Computed properties:
- E (eV/atom) = -2.4610
- crystal system = orthorhombic

a = 4.9369 Å, b = 14.9295 Å, c = 4.8669 Å
α = 90.00°, β = 90.00°, γ = 90.00°
With the nearest neighbours (Å) after each atom.
Space group Cmmm (No. 65)
Unique sites:
Li: 0.0000 0.0921 0.0000 (multiplicity 4)  1 Li 2.75, 2 Sn 2.83, 2 In 2.92
Li: 0.0000 0.4055 0.5000 (multiplicity 4)  2 Sn 2.81, 1 Li 2.82, 3 In 2.93-3.07
In: 0.0000 0.1997 0.5000 (multiplicity 4)  2 In 2.89, 5 Li 2.92-3.07
Sn: 0.0000 0.5000 0.0000 (multiplicity 2)  8 Li 2.81-2.83

(4)
Material: LiBC
Method: DFT, GGA-PBE
State: relaxed

Computed properties:
- E (eV/atom) = -5.8443
- crystal system = orthorhombic

a = 4.8979 Å, b = 6.4017 Å, c = 3.9080 Å
α = 90.00°, β = 90.00°, γ = 90.00°
With the nearest neighbours (Å) after each atom.
Space group Cmme (No. 67)
Unique sites:
Li: 0.2500 0.0000 0.0000 (multiplicity 4)  4 C 2.34, 2 Li 2.45, 4 B 2.53
B: 0.2500 0.2500 0.5000 (multiplicity 4)  2 C 1.44
C: 0.0000 0.2500 0.3064 (multiplicity 4)  2 B 1.44

(5)
Material: NaS
Method: DFT, GGA-PBE
State: relaxed

Computed properties:
- E (eV/atom) = -3.0055
- crystal system = hexagonal
- uncorrected formation energy (meV per atom) = -282

a = 4.8768 Å, b = 4.8768 Å, c = 5.5867 Å
α = 90.00°, β = 90.00°, γ = 120.00°
With the nearest neighbours (Å) after each atom.
Space group P6_3/mmc (No. 194)
Unique sites:
Na: 0.3333 0.6667 0.2500 (multiplicity 2)  5 S 2.79-2.82
S: 0.3333 0.6667 0.7500 (multiplicity 2)  5 Na 2.79-2.82

(6)
Material: Co2IrCl2
Method: DFT, GGA-PBE
State: relaxed

Computed properties:
- E (eV/atom) = -4.5080
- crystal system = tetragonal
- uncorrected formation energy (meV per atom) = 845

a = 7.0965 Å, b = 7.0965 Å, c = 2.8867 Å
α = 90.00°, β = 90.00°, γ = 90.00°
With the nearest neighbours (Å) after each atom.
Space group P4/mbm (No. 127)
Unique sites:
Co: 0.1834 0.3166 0.0000 (multiplicity 4)  2 Cl 2.28
Ir: 0.0000 0.0000 0.5000 (multiplicity 2)  4 Cl 2.74, 2 Ir 2.89, 8 Co 2.97
Cl: 0.1407 0.6407 0.5000 (multiplicity 4)  2 Co 2.28

(7)
Material: Cu2TePSe
Method: DFT, GGA-PBE
State: relaxed

Computed properties:
- E (eV/atom) = -3.1029
- crystal system = tetragonal
- uncorrected formation energy (meV per atom) = 943

a = 4.7333 Å, b = 4.7333 Å, c = 5.6487 Å
α = 90.00°, β = 90.00°, γ = 90.00°
With the nearest neighbours (Å) after each atom.
Space group P4/mmm (No. 123)
Unique sites:
Cu: 0.0000 0.5000 0.0000 (multiplicity 2)  2 Te 2.37
Te: 0.0000 0.0000 0.0000 (multiplicity 1)  4 Cu 2.37
P: 0.5000 0.5000 0.5000 (multiplicity 1)  4 Se 3.35, 8 Cu 3.68
Se: 0.0000 0.0000 0.5000 (multiplicity 1)  2 Te 2.82

(8)
Material: NaPRh
Method: DFT, GGA-PBE
State: relaxed

Computed properties:
- E (eV/atom) = -5.0964
- crystal system = hexagonal

a = 3.8900 Å, b = 3.8900 Å, c = 4.5862 Å
α = 90.00°, β = 90.00°, γ = 120.00°
With the nearest neighbours (Å) after each atom.
Space group P-6m2 (No. 187)
Unique sites:
Na: 0.0000 0.0000 0.0000 (multiplicity 1)  6 Rh 3.21, 6 P 3.21
P: 0.3333 0.6667 0.5000 (multiplicity 1)  3 Rh 2.25
Rh: 0.6667 0.3333 0.5000 (multiplicity 1)  3 P 2.25